# 1
Compound: YTiSi2
Source: the Alexandria database
Functional: meta-GGA SCAN
Structure: PBEsol geometry

abc: 4.663 4.663 4.663
angles: 60.00 60.00 60.00
Fractional positions:
Y: 0.000 0.000 0.000
Ti: 0.500 0.500 0.500
Si: 0.250 0.250 0.250
Si: 0.750 0.750 0.750

The value obtained for the magnetization is 2.3 μB/cell. Its uncorrected formation energy is -0.97 eV/f.u. As for the space-group type: Fm-3m (225). Its calculated volume is 17.9 Å³ per atom.

# 2
Compound: RbPd3C
Source: the Alexandria database
Functional: meta-GGA SCAN
Structure: PBEsol geometry

abc: 4.293 4.293 4.293
angles: 90.00 90.00 90.00
Fractional positions:
Rb: 0.000 0.000 0.000
Pd: 0.000 0.500 0.500
Pd: 0.500 0.000 0.500
Pd: 0.500 0.500 0.000
C: 0.500 0.500 0.500

The value obtained for the magnetization is 0.0 μB/cell. As for the space-group type: Pm-3m (221). The value obtained for the energy relative to the elements is 0.448 eV/atom. Its calculated volume is 15.8 Å³ per atom.

# 3
Compound: NaMn3Pd
Source: the Alexandria database
Functional: meta-GGA SCAN
Structure: PBEsol geometry

abc: 4.870 4.870 4.870
angles: 90.00 90.00 90.00
Fractional positions:
Na: 0.000 0.000 0.000
Mn: 0.000 0.500 0.500
Mn: 0.500 0.000 0.500
Mn: 0.500 0.500 0.000
Pd: 0.500 0.500 0.500

The value obtained for the magnetization is 14.0 μB/cell. As for the space-group type: Pm-3m (221). The value obtained for the energy relative to the elements is 0.267 eV/atom. Its calculated volume is 23.1 Å³ per atom.

# 4
Compound: YHfZr3
Source: the Alexandria database
Functional: meta-GGA SCAN
Structure: PBEsol geometry

abc: 5.157 5.157 5.157
angles: 90.00 90.00 90.00
Fractional positions:
Y: 0.000 0.000 0.000
Hf: 0.500 0.500 0.500
Zr: 0.000 0.500 0.500
Zr: 0.500 0.000 0.500
Zr: 0.500 0.500 0.000

The value obtained for the magnetization is 0.0 μB/cell. As for the space-group type: Pm-3m (221). The value obtained for the energy relative to the elements is 0.727 eV/atom. Its calculated volume is 27.4 Å³ per atom.

# 5
Compound: RbLiCr2Cu
Source: the Alexandria database
Functional: meta-GGA SCAN
Structure: PBEsol geometry

abc: 4.930 4.930 4.719
angles: 90.00 90.00 90.00
Fractional positions:
Rb: 0.000 0.000 0.000
Li: 0.500 0.500 0.500
Cr: 0.000 0.500 0.500
Cr: 0.500 0.000 0.500
Cu: 0.500 0.500 0.000

The value obtained for the magnetization is 10.0 μB/cell. As for the space-group type: P4/mmm (123). The value obtained for the energy relative to the elements is 0.965 eV/atom. Its calculated volume is 22.9 Å³ per atom.

# 6
Compound: Li2VF6
Source: the Alexandria database
Functional: meta-GGA SCAN
Structure: PBEsol geometry

abc: 8.543 8.543 4.413
angles: 90.00 90.00 120.00
Fractional positions:
Li: 0.000 0.344 0.000
Li: 0.000 0.656 0.000
Li: 0.344 0.000 0.000
Li: 0.344 0.344 0.000
Li: 0.656 0.000 0.000
Li: 0.656 0.656 0.000
V: 0.000 0.000 0.000
V: 0.333 0.667 0.496
V: 0.667 0.333 0.504
F: 0.106 0.212 0.220
F: 0.106 0.894 0.220
F: 0.128 0.564 0.250
F: 0.212 0.106 0.780
F: 0.231 0.463 0.736
F: 0.231 0.769 0.736
F: 0.436 0.564 0.250
F: 0.436 0.872 0.250
F: 0.463 0.231 0.264
F: 0.537 0.769 0.736
F: 0.564 0.128 0.750
F: 0.564 0.436 0.750
F: 0.769 0.231 0.264
F: 0.769 0.537 0.264
F: 0.788 0.894 0.220
F: 0.872 0.436 0.750
F: 0.894 0.106 0.780
F: 0.894 0.788 0.780

The value obtained for the magnetization is 3.0 μB/cell. The distance to the lowest polymorph of the same formula comes out at 4.89 kJ/mol of atoms. Its uncorrected formation energy is -27.96 eV/f.u. As for the space-group type: P-3m1 (164). Its calculated volume is 10.3 Å³ per atom.

# 7
Compound: GeAsAu3
Source: the Alexandria database
Functional: meta-GGA SCAN
Structure: PBEsol geometry

abc: 4.784 4.784 4.784
angles: 90.00 90.00 90.00
Fractional positions:
Ge: 0.000 0.000 0.000
As: 0.500 0.500 0.500
Au: 0.000 0.000 0.500
Au: 0.000 0.500 0.000
Au: 0.500 0.000 0.000

The value obtained for the magnetization is 1.2 μB/cell. As for the space-group type: Pm-3m (221). The value obtained for the energy relative to the elements is 0.657 eV/atom. Its calculated volume is 21.9 Å³ per atom.

# 8
Compound: VP6W3O24
Source: the Alexandria database
Functional: meta-GGA SCAN
Structure: PBEsol geometry

abc: 8.869 8.869 8.869
angles: 58.16 58.16 58.16
Fractional positions:
V: 0.000 0.000 0.000
P: 0.107 0.385 0.825
P: 0.319 0.892 0.612
P: 0.385 0.825 0.107
P: 0.612 0.319 0.892
P: 0.825 0.107 0.385
P: 0.892 0.612 0.319
W: 0.215 0.215 0.215
W: 0.500 0.500 0.500
W: 0.714 0.714 0.714
O: 0.071 0.436 0.291
O: 0.092 0.212 0.848
O: 0.136 0.361 0.994
O: 0.149 0.910 0.787
O: 0.212 0.848 0.092
O: 0.276 0.428 0.644
O: 0.291 0.071 0.436
O: 0.357 0.723 0.572
O: 0.361 0.994 0.136
O: 0.428 0.644 0.276
O: 0.436 0.291 0.071
O: 0.500 0.864 0.626
O: 0.563 0.802 0.930
O: 0.572 0.357 0.723
O: 0.626 0.500 0.864
O: 0.644 0.276 0.428
O: 0.723 0.572 0.357
O: 0.787 0.149 0.910
O: 0.802 0.930 0.563
O: 0.848 0.092 0.212
O: 0.864 0.626 0.500
O: 0.910 0.787 0.149
O: 0.930 0.563 0.802
O: 0.994 0.136 0.361

The value obtained for the magnetization is 5.0 μB/cell. Its uncorrected formation energy is -79.29 eV/f.u. As for the space-group type: R3 (146). Its calculated volume is 13.9 Å³ per atom.

# 9
Compound: BaAs3
Source: the Alexandria database
Functional: meta-GGA SCAN
Structure: PBEsol geometry

abc: 6.377 6.377 5.987
angles: 108.57 108.57 74.60
Fractional positions:
Ba: 0.165 0.165 0.336
Ba: 0.835 0.835 0.664
As: 0.093 0.630 0.185
As: 0.370 0.907 0.815
As: 0.498 0.498 0.209
As: 0.502 0.502 0.791
As: 0.630 0.093 0.185
As: 0.907 0.370 0.815

The value obtained for the magnetization is 0.0 μB/cell. As for the space-group type: C2/m (12). The value obtained for the energy relative to the elements is -0.739 eV/atom. Its calculated volume is 26.9 Å³ per atom.

# 10
Compound: Ta3Cr
Source: the Alexandria database
Functional: meta-GGA SCAN
Structure: PBEsol geometry

abc: 3.142 3.142 6.494
angles: 90.00 90.00 90.00
Fractional positions:
Ta: 0.000 0.000 0.000
Ta: 0.500 0.500 0.270
Ta: 0.500 0.500 0.730
Cr: 0.000 0.000 0.500

The value obtained for the magnetization is 0.4 μB/cell. As for the space-group type: P4/mmm (123). The value obtained for the energy relative to the elements is 0.011 eV/atom. Its calculated volume is 16.0 Å³ per atom.

# 11
Compound: BeP2ClO
Source: the Alexandria database
Functional: meta-GGA SCAN
Structure: PBEsol geometry

abc: 4.880 4.880 2.941
angles: 90.00 90.00 90.00
Fractional positions:
Be: 0.000 0.000 0.000
P: 0.000 0.500 0.000
P: 0.500 0.000 0.000
Cl: 0.500 0.500 0.500
O: 0.000 0.000 0.500

The value obtained for the magnetization is 0.0 μB/cell. Its uncorrected formation energy is 0.95 eV/f.u. As for the space-group type: P4/mmm (123). Its calculated volume is 14.0 Å³ per atom.

# 12
Compound: MnAsOs2
Source: the Alexandria database
Functional: meta-GGA SCAN
Structure: PBEsol geometry

abc: 4.704 4.704 4.704
angles: 133.35 133.35 68.11
Fractional positions:
Mn: 0.000 0.000 0.000
As: 0.250 0.750 0.500
Os: 0.500 0.500 0.000
Os: 0.750 0.250 0.500

The value obtained for the magnetization is 3.1 μB/cell. As for the space-group type: I-4m2 (119). The value obtained for the energy relative to the elements is 0.215 eV/atom. Its calculated volume is 13.5 Å³ per atom.

Q: Among the records above, which one has the highest magnetization?
A: NaMn3Pd

Q: magnetization of number 10 (Ta3Cr)?
A: 0.4 μB/cell